Material: La2BeFeO6
Method: DFT, GGA+U
State: optimized geometry

Cell lengths 5.4501, 7.2230, 5.5957 Å; angles 90.00, 90.00, 90.00 degrees
With the nearest neighbours (Å) after each atom.
Positions (direct):
La (0.2500, 0.0032, 0.2281)  11 O 2.58-2.77
La (0.2500, 0.4968, 0.2281)  11 O 2.58-2.77
La (0.7500, 0.5032, 0.7719)  11 O 2.58-2.77
La (0.7500, 0.9968, 0.7719)  11 O 2.58-2.77
Be (0.2500, 0.7500, 0.6665)  4 O 1.62-1.79
Be (0.7500, 0.2500, 0.3335)  4 O 1.62-1.79
Fe (0.2500, 0.2500, 0.7385)  6 O 1.87-1.94
Fe (0.7500, 0.7500, 0.2615)  6 O 1.87-1.94
O (0.9998, 0.2500, 0.4916)  1 Be 1.62
O (0.0002, 0.7500, 0.5084)  1 Be 1.62
O (0.0098, 0.2500, 0.9779)  1 Fe 1.87
O (0.2500, 0.5117, 0.7523)  1 Be 1.79, 1 Fe 1.89
O (0.2500, 0.9883, 0.7523)  1 Be 1.79, 1 Fe 1.89
O (0.4902, 0.2500, 0.9779)  1 Fe 1.87
O (0.5002, 0.2500, 0.4916)  1 Be 1.62
O (0.4998, 0.7500, 0.5084)  1 Be 1.62
O (0.5098, 0.7500, 0.0221)  1 Fe 1.87
O (0.7500, 0.0117, 0.2477)  1 Be 1.79, 1 Fe 1.89
O (0.7500, 0.4883, 0.2477)  1 Be 1.79, 1 Fe 1.89
O (0.9902, 0.7500, 0.0221)  1 Fe 1.87

Results
Volume ... 220 Å³ per cell
Density of states at the Fermi level ... 0.054 states/eV/f.u.
Total DFT energy (no corrections) ... -0.542 Ry per atom
Magnetization ... 2.00 μB per formula unit